Density functional theory data (PBE-GGA) for a relaxed Ag3HgBr crystal.

Results
Symmetry: Pm-3m, No. 221
Formation energy without anion corrections (eV/atom): 0.5289
Distance to the lowest polymorph of the same formula (eV/atom): 0.011

abc: 5.3275 5.3275 5.3275
angles: 90.00 90.00 90.00
Atoms (fractional coordinates):
Hg  0.0000  0.0000  0.0000
Ag  0.0000  0.0000  0.5000
Br  0.5000  0.5000  0.5000
Ag  0.5000  0.0000  0.0000
Ag  0.0000  0.5000  0.0000